Entry 1:
Th6Os3C2Cl | PBE | relaxed

Geometry as POSCAR:
```
Th6Os3C2Cl
1.0
9.047 -2.054 0.000
9.047 2.054 0.000
-3.030 0.000 7.324
Th Os C Cl
6 3 2 1
direct
0.033 0.033 0.298
0.308 0.308 0.419
0.330 0.330 0.953
0.670 0.670 0.047
0.692 0.692 0.581
0.967 0.967 0.702
0.143 0.143 0.752
0.500 0.500 0.500
0.857 0.857 0.248
0.162 0.162 0.254
0.838 0.838 0.746
0.500 0.500 0.000
```

raw total energy = -0.6266 Ry/atom
formation energy from raw total energies = -0.317 eV per atom

---

Entry 2:
OsW2CCl | PBE | relaxed

Geometry as POSCAR:
```
OsW2CCl
1.0
4.638 0.000 0.000
0.000 4.638 0.000
0.000 0.000 3.320
Os W C Cl
1 2 1 1
direct
0.000 0.000 0.000
0.000 0.500 0.500
0.500 0.000 0.500
0.500 0.500 0.000
0.500 0.500 0.500
```

raw total energy = -0.5301 Ry/atom
formation energy from raw total energies = 2.428 eV per atom